Entry 1:
A relaxed structure of AlNi7Sb2As2, computed with PBE.

a b c (Å): 3.6160 3.6160 14.4878
angles (deg): 82.75 82.75 90.01
Fractional positions:
1 Al 0.0000 0.0000 0.0000
2 Ni 0.5000 0.5000 0.0000
3 Ni 0.3045 0.3045 0.3912
4 Ni 0.6955 0.6955 0.6088
5 Ni 0.9366 0.4365 0.1248
6 Ni 0.4365 0.9366 0.1248
7 Ni 0.5635 0.0634 0.8752
8 Ni 0.0634 0.5635 0.8752
9 Sb 0.7879 0.7879 0.4241
10 Sb 0.2121 0.2121 0.5759
11 As 0.6152 0.6152 0.7728
12 As 0.3848 0.3848 0.2272

Values from the calculation:
N(E_F)   5.2 states/eV/cell
SG   No. 12
Raw formation energy   -0.292 eV per atom

Entry 2:
A relaxed structure of Rb2HI, computed with PBE.

a b c (Å): 4.1431 4.1431 8.3161
angles (deg): 90.00 90.00 90.00
Fractional positions:
1 I 0.5000 0.5000 0.5000
2 H 0.5000 0.5000 0.0000
3 Rb 0.0000 0.0000 0.7787
4 Rb 0.0000 0.0000 0.2213

Values from the calculation:
N(E_F)   0.0 states/eV/cell
Total energy   -2.4162 eV/atom
SG   No. 123